The following is a PBE+U calculation of a relaxed structure of Cr2OsO, from the Alexandria database.

For the total magnetization, the calculation gives 22.85 μB/cell. Its total energy is -7.54 eV per atom.

abc: 5.944 5.944 6.616
angles: 90.00 90.00 90.00
Space group I-42d (No. 122)
One atom of each set of equivalent atoms:
Cr1 0.162 0.250 0.125 [8 per cell]
Os1 0.000 0.000 0.500 [4 per cell]
O1 0.000 0.000 0.000 [4 per cell]